Version A
Entry from the Alexandria database: a relaxed AgPb2S2 crystal (GGA-PBE).

Properties
Total magnetic moment = 0.00 Bohr magnetons per cell
Space group = Pnma

Cell: 7.881 5.957 11.438 Å, 90.00 90.00 90.00°
Sites, in units of the cell vectors:
Ag1 0.132 0.250 0.085
Ag2 0.368 0.750 0.585
Ag3 0.632 0.250 0.415
Ag4 0.868 0.750 0.915
Pb1 0.036 0.250 0.786
Pb2 0.173 0.250 0.441
Pb3 0.327 0.750 0.941
Pb4 0.464 0.750 0.286
Pb5 0.536 0.250 0.714
Pb6 0.673 0.250 0.059
Pb7 0.827 0.750 0.559
Pb8 0.964 0.750 0.214
S1 0.068 0.750 0.758
S2 0.159 0.750 0.432
S3 0.341 0.250 0.932
S4 0.432 0.250 0.258
S5 0.568 0.750 0.742
S6 0.659 0.750 0.068
S7 0.841 0.250 0.568
S8 0.932 0.250 0.242

Version B
Entry from the Alexandria database: a relaxed AgPb2S2 crystal (GGA-PBE).

Properties
Total magnetic moment = 0.00 Bohr magnetons per cell
Space group = P4/mbm

Cell: 7.678 7.678 4.176 Å, 90.00 90.00 90.00°
Sites, in units of the cell vectors:
Ag1 0.000 0.000 0.000
Ag2 0.500 0.500 0.000
Pb1 0.158 0.342 0.500
Pb2 0.342 0.842 0.500
Pb3 0.658 0.158 0.500
Pb4 0.842 0.658 0.500
S1 0.170 0.670 0.000
S2 0.330 0.170 0.000
S3 0.670 0.830 0.000
S4 0.830 0.330 0.000

Most stable structure: version A

Version A
Entry from the Alexandria database: a relaxed AgPb2S2 crystal (GGA-PBE).

Properties
Total magnetic moment = 0.00 Bohr magnetons per cell
Space group = P4/mbm

Cell: 8.025 8.025 3.923 Å, 90.00 90.00 90.00°
Sites, in units of the cell vectors:
Ag1 0.000 0.000 0.000
Ag2 0.500 0.500 0.000
Pb1 0.155 0.345 0.000
Pb2 0.345 0.845 0.000
Pb3 0.655 0.155 0.000
Pb4 0.845 0.655 0.000
S1 0.166 0.666 0.500
S2 0.334 0.166 0.500
S3 0.666 0.834 0.500
S4 0.834 0.334 0.500

Version B
Entry from the Alexandria database: a relaxed AgPb2S2 crystal (GGA-PBE).

Properties
Total magnetic moment = 0.00 Bohr magnetons per cell
Space group = I4/mmm

Cell: 6.781 6.781 6.781 Å, 135.82 135.82 64.26°
Sites, in units of the cell vectors:
Ag1 0.000 0.000 0.000
Pb1 0.353 0.353 0.000
Pb2 0.647 0.647 0.000
S1 0.250 0.750 0.500
S2 0.750 0.250 0.500

Most stable structure: version A

Version A
Entry from the Alexandria database: a relaxed AgSb3PbS6 crystal (GGA-PBE).

Properties
Total magnetic moment = 0.00 Bohr magnetons per cell
Space group = Cmc2_1

Cell: 7.169 7.169 19.678 Å, 90.00 90.00 147.61°
Sites, in units of the cell vectors:
Ag1 0.059 0.941 0.500
Ag2 0.941 0.059 0.000
Sb1 0.112 0.888 0.277
Sb2 0.352 0.648 0.580
Sb3 0.380 0.620 0.187
Sb4 0.620 0.380 0.687
Sb5 0.648 0.352 0.080
Sb6 0.888 0.112 0.777
Pb1 0.179 0.821 0.889
Pb2 0.821 0.179 0.389
S1 0.019 0.981 0.632
S2 0.170 0.830 0.396
S3 0.258 0.742 0.741
S4 0.259 0.741 0.045
S5 0.440 0.560 0.472
S6 0.470 0.530 0.300
S7 0.530 0.470 0.800
S8 0.560 0.440 0.972
S9 0.741 0.259 0.545
S10 0.742 0.258 0.241
S11 0.830 0.170 0.896
S12 0.981 0.019 0.132

Version B
Entry from the Alexandria database: a relaxed AgSb3PbS6 crystal (GGA-PBE).

Properties
Total magnetic moment = 0.00 Bohr magnetons per cell
Space group = Pc

Cell: 12.413 4.495 14.112 Å, 90.00 124.32 90.00°
Sites, in units of the cell vectors:
Ag1 0.000 0.147 0.000
Ag2 0.000 0.853 0.500
Sb1 0.472 0.307 0.795
Sb2 0.472 0.693 0.295
Sb3 0.575 0.261 0.113
Sb4 0.575 0.739 0.613
Sb5 0.866 0.278 0.689
Sb6 0.866 0.722 0.189
Pb1 0.214 0.124 0.354
Pb2 0.214 0.876 0.854
S1 0.066 0.342 0.882
S2 0.066 0.658 0.382
S3 0.250 0.351 0.738
S4 0.250 0.649 0.238
S5 0.400 0.074 0.135
S6 0.400 0.926 0.635
S7 0.546 0.076 0.459
S8 0.546 0.924 0.959
S9 0.770 0.030 0.280
S10 0.770 0.970 0.780
S11 0.964 0.147 0.148
S12 0.964 0.853 0.648

Most stable structure: version A

Version A
Entry from the Alexandria database: a relaxed AgSb2Pb2 crystal (GGA-PBE).

Properties
Total magnetic moment = 0.00 Bohr magnetons per cell
Space group = P2_1/c

Cell: 9.324 8.070 7.949 Å, 90.00 92.32 90.00°
Sites, in units of the cell vectors:
Ag1 0.093 0.073 0.130
Ag2 0.093 0.427 0.630
Ag3 0.907 0.573 0.370
Ag4 0.907 0.927 0.870
Sb1 0.150 0.108 0.758
Sb2 0.150 0.392 0.258
Sb3 0.368 0.571 0.730
Sb4 0.368 0.929 0.230
Sb5 0.632 0.071 0.770
Sb6 0.632 0.429 0.270
Sb7 0.850 0.608 0.742
Sb8 0.850 0.892 0.242
Pb1 0.153 0.690 0.003
Pb2 0.153 0.810 0.503
Pb3 0.407 0.241 0.498
Pb4 0.407 0.259 0.998
Pb5 0.593 0.741 0.002
Pb6 0.593 0.759 0.502
Pb7 0.847 0.190 0.497
Pb8 0.847 0.310 0.997

Version B
Entry from the Alexandria database: a relaxed AgSb2Pb2 crystal (GGA-PBE).

Properties
Total magnetic moment = 0.00 Bohr magnetons per cell
Space group = I4/mmm

Cell: 9.014 9.014 9.014 Å, 152.67 152.67 39.04°
Sites, in units of the cell vectors:
Ag1 0.000 0.000 0.000
Sb1 0.250 0.750 0.500
Sb2 0.750 0.250 0.500
Pb1 0.406 0.406 0.000
Pb2 0.594 0.594 0.000

Version C
Entry from the Alexandria database: a relaxed AgSb2Pb2 crystal (GGA-PBE).

Properties
Total magnetic moment = 0.00 Bohr magnetons per cell
Space group = P4/mbm

Cell: 7.535 7.535 5.200 Å, 90.00 90.00 90.00°
Sites, in units of the cell vectors:
Ag1 0.000 0.000 0.000
Ag2 0.500 0.500 0.000
Sb1 0.138 0.362 0.000
Sb2 0.362 0.862 0.000
Sb3 0.638 0.138 0.000
Sb4 0.862 0.638 0.000
Pb1 0.181 0.681 0.500
Pb2 0.319 0.181 0.500
Pb3 0.681 0.819 0.500
Pb4 0.819 0.319 0.500

Most stable structure: version A

Version A
Entry from the Alexandria database: a relaxed AgSb2Pb2 crystal (GGA-PBE).

Properties
Total magnetic moment = 0.00 Bohr magnetons per cell
Space group = P4/mbm

Cell: 7.968 7.968 4.829 Å, 90.00 90.00 90.00°
Sites, in units of the cell vectors:
Ag1 0.000 0.000 0.000
Ag2 0.500 0.500 0.000
Sb1 0.129 0.371 0.500
Sb2 0.371 0.871 0.500
Sb3 0.629 0.129 0.500
Sb4 0.871 0.629 0.500
Pb1 0.171 0.671 0.000
Pb2 0.329 0.171 0.000
Pb3 0.671 0.829 0.000
Pb4 0.829 0.329 0.000

Version B
Entry from the Alexandria database: a relaxed AgSb2Pb2 crystal (GGA-PBE).

Properties
Total magnetic moment = 0.00 Bohr magnetons per cell
Space group = I4/mmm

Cell: 7.752 7.752 7.752 Å, 143.01 143.01 53.30°
Sites, in units of the cell vectors:
Ag1 0.000 0.000 0.000
Sb1 0.394 0.394 0.000
Sb2 0.606 0.606 0.000
Pb1 0.250 0.750 0.500
Pb2 0.750 0.250 0.500

Most stable structure: version A

Version A
Entry from the Alexandria database: a relaxed Ag3SbPb crystal (GGA-PBE).

Properties
Total magnetic moment = 0.00 Bohr magnetons per cell
Space group = P2/c

Cell: 4.921 7.607 7.887 Å, 90.00 128.48 90.00°
Sites, in units of the cell vectors:
Ag1 0.000 0.065 0.250
Ag2 0.000 0.935 0.750
Ag3 0.276 0.255 0.026
Ag4 0.276 0.745 0.526
Ag5 0.724 0.255 0.474
Ag6 0.724 0.745 0.974
Sb1 0.000 0.434 0.250
Sb2 0.000 0.566 0.750
Pb1 0.500 0.164 0.750
Pb2 0.500 0.836 0.250

Version B
Entry from the Alexandria database: a relaxed Ag3SbPb crystal (GGA-PBE).

Properties
Total magnetic moment = 0.00 Bohr magnetons per cell
Space group = Pm-3m

Cell: 5.261 5.261 5.261 Å, 90.00 90.00 90.00°
Sites, in units of the cell vectors:
Ag1 0.000 0.000 0.500
Ag2 0.000 0.500 0.000
Ag3 0.500 0.000 0.000
Sb1 0.000 0.000 0.000
Pb1 0.500 0.500 0.500

Most stable structure: version A

Version A
Entry from the Alexandria database: a relaxed Ag2Sb2Pb crystal (GGA-PBE).

Properties
Total magnetic moment = 0.00 Bohr magnetons per cell
Space group = I4/mmm

Cell: 8.025 8.025 8.025 Å, 149.87 149.87 43.13°
Sites, in units of the cell vectors:
Ag1 0.250 0.750 0.500
Ag2 0.750 0.250 0.500
Sb1 0.114 0.114 0.000
Sb2 0.886 0.886 0.000
Pb1 0.500 0.500 0.000

Version B
Entry from the Alexandria database: a relaxed Ag2Sb2Pb crystal (GGA-PBE).

Properties
Total magnetic moment = 0.00 Bohr magnetons per cell
Space group = I4/mmm

Cell: 7.283 7.283 7.283 Å, 144.22 144.22 51.49°
Sites, in units of the cell vectors:
Ag1 0.103 0.103 0.000
Ag2 0.897 0.897 0.000
Sb1 0.250 0.750 0.500
Sb2 0.750 0.250 0.500
Pb1 0.500 0.500 0.000

Most stable structure: version A

Version A
Entry from the Alexandria database: a relaxed Sc8Ag2Pb crystal (GGA-PBE).

Properties
Total magnetic moment = 0.00 Bohr magnetons per cell
Space group = C2/m

Cell: 8.103 8.103 7.683 Å, 115.80 115.80 34.12°
Sites, in units of the cell vectors:
Sc1 0.058 0.058 0.229
Sc2 0.157 0.157 0.716
Sc3 0.313 0.313 0.542
Sc4 0.401 0.401 0.034
Sc5 0.599 0.599 0.966
Sc6 0.687 0.687 0.458
Sc7 0.843 0.843 0.284
Sc8 0.942 0.942 0.771
Ag1 0.209 0.209 0.125
Ag2 0.791 0.791 0.875
Pb1 0.500 0.500 0.500

Version B
Entry from the Alexandria database: a relaxed Sc8Ag2Pb crystal (GGA-PBE).

Properties
Total magnetic moment = 0.39 Bohr magnetons per cell
Space group = C2/m

Cell: 7.917 7.917 5.031 Å, 100.40 100.40 117.85°
Sites, in units of the cell vectors:
Sc1 0.097 0.326 0.609
Sc2 0.228 0.772 0.000
Sc3 0.326 0.097 0.609
Sc4 0.406 0.406 0.201
Sc5 0.594 0.594 0.799
Sc6 0.674 0.903 0.391
Sc7 0.772 0.228 0.000
Sc8 0.903 0.674 0.391
Ag1 0.303 0.697 0.500
Ag2 0.697 0.303 0.500
Pb1 0.000 0.000 0.000

Most stable structure: version A

Version A
Entry from the Alexandria database: a relaxed ScAg2Pb2 crystal (GGA-PBE).

Properties
Total magnetic moment = 0.00 Bohr magnetons per cell
Space group = P4/mbm

Cell: 7.788 7.788 3.961 Å, 90.00 90.00 90.00°
Sites, in units of the cell vectors:
Sc1 0.000 0.000 0.000
Sc2 0.500 0.500 0.000
Ag1 0.125 0.375 0.000
Ag2 0.375 0.875 0.000
Ag3 0.625 0.125 0.000
Ag4 0.875 0.625 0.000
Pb1 0.180 0.680 0.500
Pb2 0.320 0.180 0.500
Pb3 0.680 0.820 0.500
Pb4 0.820 0.320 0.500

Version B
Entry from the Alexandria database: a relaxed ScAg2Pb2 crystal (GGA-PBE).

Properties
Total magnetic moment = 0.00 Bohr magnetons per cell
Space group = I4/mmm

Cell: 8.962 8.962 8.962 Å, 155.48 155.48 34.95°
Sites, in units of the cell vectors:
Sc1 0.000 0.000 0.000
Ag1 0.250 0.750 0.500
Ag2 0.750 0.250 0.500
Pb1 0.394 0.394 0.000
Pb2 0.606 0.606 0.000

Version C
Entry from the Alexandria database: a relaxed ScAg2Pb2 crystal (GGA-PBE).

Properties
Total magnetic moment = 0.96 Bohr magnetons per cell
Space group = P4/mbm

Cell: 8.285 8.285 3.530 Å, 90.00 90.00 90.00°
Sites, in units of the cell vectors:
Sc1 0.000 0.000 0.000
Sc2 0.500 0.500 0.000
Ag1 0.136 0.364 0.500
Ag2 0.364 0.864 0.500
Ag3 0.636 0.136 0.500
Ag4 0.864 0.636 0.500
Pb1 0.163 0.663 0.000
Pb2 0.337 0.163 0.000
Pb3 0.663 0.837 0.000
Pb4 0.837 0.337 0.000

Most stable structure: version A

Version A
Entry from the Alexandria database: a relaxed AgPb2Se2 crystal (GGA-PBE).

Properties
Total magnetic moment = 0.00 Bohr magnetons per cell
Space group = P4/mbm

Cell: 7.922 7.922 4.301 Å, 90.00 90.00 90.00°
Sites, in units of the cell vectors:
Ag1 0.000 0.000 0.000
Ag2 0.500 0.500 0.000
Pb1 0.155 0.345 0.500
Pb2 0.345 0.845 0.500
Pb3 0.655 0.155 0.500
Pb4 0.845 0.655 0.500
Se1 0.168 0.668 0.000
Se2 0.332 0.168 0.000
Se3 0.668 0.832 0.000
Se4 0.832 0.332 0.000

Version B
Entry from the Alexandria database: a relaxed AgPb2Se2 crystal (GGA-PBE).

Properties
Total magnetic moment = 0.00 Bohr magnetons per cell
Space group = I4/mmm

Cell: 6.126 6.126 6.126 Å, 123.68 123.68 83.73°
Sites, in units of the cell vectors:
Ag1 0.000 0.000 0.000
Pb1 0.326 0.326 0.000
Pb2 0.674 0.674 0.000
Se1 0.250 0.750 0.500
Se2 0.750 0.250 0.500

Most stable structure: version A